## La2RhAu3 (GGA-PBE)

Data for a relaxed structure of La2RhAu3.

Cell lengths 3.8491, 5.0333, 7.5979 Å; angles 90.00, 90.00, 90.00 degrees
Sites, in units of the cell vectors:
Rh 0.5000 0.5000 0.2970
Au 0.5000 0.0000 0.8260
La 0.0000 0.0000 0.5000
Au 0.5000 0.0000 0.1877
Au 0.5000 0.5000 0.6608
La 0.0000 0.5000 0.0286

Summary:
Total magnetization (μB/cell): 0.0
N(E_F) (states/eV per atom): 0.5411
Calculated formation energy (eV/atom): -0.728
Electronic total energy (eV per atom): -5.234